Below is a geometry-optimized CuNiRhO4 structure, with properties calculated at the PBE+U level.

a = 5.911 Å, b = 6.003 Å, c = 6.044 Å
α = 120.22°, β = 90.00°, γ = 119.49°
Last column: magnetic moment on the atom in μB.
Fractional positions:
Ni  0.500  0.500  0.500  1.63
Ni  0.000  0.500  0.500  1.63
O  0.267  0.994  0.747  -0.07
O  0.733  0.006  0.253  -0.07
O  0.264  0.529  0.285  -0.12
O  0.273  0.006  0.253  -0.07
O  0.727  0.994  0.747  -0.07
O  0.264  0.529  0.744  -0.12
O  0.736  0.471  0.715  -0.12
O  0.736  0.471  0.256  -0.12
Cu  0.863  0.726  0.113  -0.49
Cu  0.137  0.274  0.887  -0.49
Rh  0.500  0.000  0.000  -0.46
Rh  0.500  0.000  0.500  -0.46

Symmetry   Imma (74)
Energy   -5.601 eV per atom
M_tot   0.46 Bohr magnetons per cell